A plane-wave DFT calculation with PBE was carried out for a relaxed Sr2Cd7Hg12 crystal.

As for the calculated formation energy: -0.14 eV per atom. As for the electronic total energy: -0.775 eV per atom. The value obtained for the total magnetization is 0.00 μB/f.u.

The structure belongs to space group P-3 (No. 147); the cell edges are 11.4893, 11.4893 and 4.9030 Å and the angles 90.00°, 90.00° and 120.00°. The distinct sites, in fractional coordinates, are Sr at (0.3333, 0.6667, 0.2979), Cd at (0.0000, 0.0000, 0.0000), Cd at (0.0220, 0.5990, 0.7245), Hg at (0.1026, 0.8441, 0.3026) and Hg at (0.1574, 0.4380, 0.8081).